# PBE TmSnIr, optimized geometry
data_TmSnIr
_space_group_name_H-M_alt 'P -6 2 m'
_space_group_IT_number 189
_space_group_name_Hall 'P -6 -2'
_cell_length_a 7.0829
_cell_length_b 7.0829
_cell_length_c 4.2914
_cell_angle_alpha 90.00
_cell_angle_beta 90.00
_cell_angle_gamma 120.00
loop_
_atom_site_label
_atom_site_type_symbol
_atom_site_fract_x
_atom_site_fract_y
_atom_site_fract_z
Tm1 Tm 0.0000 0.5673 0.0000
Sn1 Sn 0.0000 0.0000 0.0000
Sn2 Sn 0.3333 0.6667 0.5000
Ir1 Ir 0.0000 0.2397 0.5000
# Raw total energy: -6.4660 eV per atom